Record 1
Crystalline La3Tb2Dy8 at its relaxed geometry. Source: the Alexandria database, functional PBE.

Lattice parameters (Å, degrees): 20.2430 7.7500 5.6641 90.00 90.08 90.00
Space group C2/m (No. 12)
Unique sites:
La1 0.0000 0.0000 0.0000 [2 per cell]
La2 0.0000 0.2987 0.5000 [4 per cell]
Tb1 0.2411 0.0000 0.9980 [4 per cell]
Dy1 0.1096 0.2921 0.0002 [8 per cell]
Dy2 0.1367 0.0000 0.4989 [4 per cell]
Dy3 0.1733 0.5000 0.5014 [4 per cell]

Values from the calculation:
Its formation energy is 5.75 kcal/mol of atoms. The energy above the most stable polymorph in this dataset is 0.164 eV per atom.

---

Record 2
Crystalline Cs2NaHgCl5 at its relaxed geometry. Source: the Alexandria database, functional PBE.

Lattice parameters (Å, degrees): 4.5517 19.6178 14.2579 90.00 90.00 90.00
Space group Cmc2_1 (No. 36)
Unique sites:
Cs1 0.0000 0.1160 0.0000 [4 per cell]
Cs2 0.0000 0.1328 0.5999 [4 per cell]
Na1 0.0000 0.4328 0.7455 [4 per cell]
Hg1 0.0000 0.2136 0.3200 [4 per cell]
Cl1 0.0000 0.0847 0.3419 [4 per cell]
Cl2 0.0000 0.2853 0.9431 [4 per cell]
Cl3 0.0000 0.3040 0.6810 [4 per cell]
Cl4 0.0000 0.3394 0.3021 [4 per cell]
Cl5 0.0000 0.4995 0.0886 [4 per cell]

Values from the calculation:
For the formation energy from raw total energies, the calculation gives -1274 kJ/mol of formula units.

---

Record 3
Crystalline CuSbIr2 at its relaxed geometry. Source: the Alexandria database, functional PBE.

Lattice parameters (Å, degrees): 2.8549 5.0256 9.3389 90.00 90.00 90.00
Space group Cmm2 (No. 35)
Unique sites:
Cu1 0.0000 0.0000 0.0000 [2 per cell]
Sb1 0.0000 0.5000 0.2699 [2 per cell]
Ir1 0.0000 0.0000 0.5308 [2 per cell]
Ir2 0.0000 0.5000 0.7714 [2 per cell]

Values from the calculation:
For the formation energy from raw total energies, the calculation gives 212 kJ/mol of formula units.

---

Record 4
Crystalline BaWN3 at its relaxed geometry. Source: the Alexandria database, functional PBE.

Lattice parameters (Å, degrees): 8.6452 7.8628 6.1457 90.00 131.76 90.00
Space group Cm (No. 8)
Unique sites:
Ba1 0.0000 0.2378 0.0000 [4 per cell]
W1 0.0112 0.5000 0.5425 [2 per cell]
W2 0.4122 0.5000 0.3949 [2 per cell]
N1 0.2200 0.0000 0.6829 [2 per cell]
N2 0.2376 0.5000 0.9720 [2 per cell]
N3 0.2662 0.5000 0.5186 [2 per cell]
N4 0.3054 0.0000 0.5713 [2 per cell]
N5 0.4437 0.2321 0.3891 [4 per cell]

Values from the calculation:
For the formation energy from raw total energies, the calculation gives -250 kJ/mol of formula units.

---

no.,VASP energy (eV per atom)
1,-4.43
2,-2.86
3,-5.94
4,-8.49